# Li8SmMg3

Crystalline Li8SmMg3 at its relaxed geometry (PBE-GGA, the Alexandria database).

E_form: 0.015 eV per atom
Energy: -0.0754 hartree per atom

Cell lengths 5.6380, 5.6380, 9.1328 Å; angles 90.00, 90.00, 120.00 degrees
Space group P3m1 (No. 156)
Asymmetric unit:
Li (0.0000, 0.0000, 0.0000) [1 per cell]
Li (0.0000, 0.0000, 0.4916) [1 per cell]
Li (0.1728, 0.3455, 0.2603) [3 per cell]
Li (0.3384, 0.1692, 0.7425) [3 per cell]
Sm (0.6667, 0.3333, 0.0645) [1 per cell]
Mg (0.3333, 0.6667, 0.5675) [1 per cell]
Mg (0.3333, 0.6667, 0.9323) [1 per cell]
Mg (0.6667, 0.3333, 0.4428) [1 per cell]